# MnTcOs2

Crystalline MnTcOs2 at its relaxed geometry (PBE, Alexandria via LeMat-Bulk).

## Properties
DOS(E_F)	1.1418	states/eV per atom
calculated volume	13.864	A^3/atom
space group	C2/m (12)
E_form	0.3	eV per formula unit
DFT total energy	-10.4124	eV per atom

abc: 4.650 4.650 4.682
angles: 80.46 80.46 33.79
Atoms (fractional coordinates):
Mn: 0.250 0.250 0.250
Os: 0.501 0.501 0.497
Os: 0.999 0.999 0.003
Tc: 0.750 0.750 0.750